DFT (PBE-GGA) results for TbCeSm2 after structural relaxation.

Cell: 3.4555 3.4555 12.6243 Å, 82.13 82.13 60.00°
Closest atoms and distances in Å follow each position.
Sites, in units of the cell vectors:
Sm: 0.9117 0.9117 0.2648  1 Ce 3.30, 6 Sm 3.46, 3 Tb 3.55
Sm: 0.0883 0.0883 0.7352  1 Ce 3.30, 6 Sm 3.46, 3 Tb 3.55
Tb: 0.5000 0.5000 0.5000  6 Tb 3.46, 6 Sm 3.55
Ce: 0.0000 0.0000 0.0000  2 Sm 3.30, 6 Ce 3.46

The energy of formation is 71 kJ/mol of formula units. Its space-group type is R-3m, No. 166. The excess energy over the best structure of this formula in the dataset comes out at 121 meV per atom.